PBE-GGA LiRu2Cl, optimized geometry; offset from the most stable computed form = 0.329 eV/atom; DFT total energy = -21.2 eV per cell; E_form (uncorrected) = 272 meV per atom; symmetry = No. 12; DOS at the Fermi energy = 3.58 states/eV/cell
1.0
2.397 -7.423 0.000
2.397 7.423 0.000
-2.388 0.000 2.420
Li Ru Cl
1 2 1
direct
0.000 0.000 0.000 Li
0.000 0.500 0.000 Ru
0.500 0.000 0.000 Ru
0.500 0.500 0.000 Cl